A plane-wave DFT calculation with GGA-PBE was carried out for crystalline Zr2BiN at its relaxed geometry.

abc: 3.509 6.074 13.802
angles: 90.00 90.00 90.00
Positions (direct):
Zr 0.000 0.166 0.081
Zr 0.000 0.166 0.419
Zr 0.000 0.834 0.581
Zr 0.000 0.834 0.919
Zr 0.500 0.334 0.581
Zr 0.500 0.334 0.919
Zr 0.500 0.666 0.081
Zr 0.500 0.666 0.419
Bi 0.000 0.168 0.750
Bi 0.000 0.832 0.250
Bi 0.500 0.332 0.250
Bi 0.500 0.668 0.750
N 0.000 0.500 0.000
N 0.000 0.500 0.500
N 0.500 0.000 0.000
N 0.500 0.000 0.500

Computed properties:
The total energy comes out at -8.315 eV/atom. The space group is Cmcm.

A plane-wave DFT calculation with GGA-PBE was carried out for crystalline NaNbBi at its relaxed geometry.

abc: 6.917 6.917 6.917
angles: 90.00 90.00 90.00
Positions (direct):
Na 0.000 0.000 0.000
Na 0.000 0.500 0.500
Na 0.500 0.000 0.500
Na 0.500 0.500 0.000
Nb 0.000 0.000 0.500
Nb 0.000 0.500 0.000
Nb 0.500 0.000 0.000
Nb 0.500 0.500 0.500
Bi 0.250 0.250 0.250
Bi 0.250 0.750 0.750
Bi 0.750 0.250 0.750
Bi 0.750 0.750 0.250

Computed properties:
The total energy comes out at -4.548 eV/atom. For the energy above the most stable polymorph in this dataset, the calculation gives 0 meV per atom. The space group is F-43m.

A plane-wave DFT calculation with GGA-PBE was carried out for crystalline NaNbReBi at its relaxed geometry.

abc: 6.728 6.728 6.728
angles: 90.00 90.00 90.00
Positions (direct):
Na 0.000 0.000 0.000
Na 0.000 0.500 0.500
Na 0.500 0.000 0.500
Na 0.500 0.500 0.000
Nb 0.000 0.000 0.500
Nb 0.000 0.500 0.000
Nb 0.500 0.000 0.000
Nb 0.500 0.500 0.500
Re 0.250 0.250 0.750
Re 0.250 0.750 0.250
Re 0.750 0.250 0.250
Re 0.750 0.750 0.750
Bi 0.250 0.250 0.250
Bi 0.250 0.750 0.750
Bi 0.750 0.250 0.750
Bi 0.750 0.750 0.250

Computed properties:
The total energy comes out at -6.281 eV/atom. For the energy above the most stable polymorph in this dataset, the calculation gives 192 meV per atom. The space group is F-43m.

A plane-wave DFT calculation with GGA-PBE was carried out for crystalline NaNbReBi at its relaxed geometry.

abc: 6.662 6.662 6.662
angles: 90.00 90.00 90.00
Positions (direct):
Na 0.000 0.000 0.000
Na 0.000 0.500 0.500
Na 0.500 0.000 0.500
Na 0.500 0.500 0.000
Nb 0.250 0.250 0.250
Nb 0.250 0.750 0.750
Nb 0.750 0.250 0.750
Nb 0.750 0.750 0.250
Re 0.000 0.000 0.500
Re 0.000 0.500 0.000
Re 0.500 0.000 0.000
Re 0.500 0.500 0.500
Bi 0.250 0.250 0.750
Bi 0.250 0.750 0.250
Bi 0.750 0.250 0.250
Bi 0.750 0.750 0.750

Computed properties:
The total energy comes out at -6.473 eV/atom. For the energy above the most stable polymorph in this dataset, the calculation gives 0 meV per atom. The space group is F-43m.